Entry 1:
Material: LiMnSi2
Method: DFT, GGA-PBE
State: optimized geometry

Results
* ΔE to the lowest computed polymorph: 0.00 eV/f.u.
* E_form (uncorrected): -0.193 eV/atom

Cell lengths 2.6147, 2.6147, 7.6551 Å; angles 90.00, 90.00, 92.34 degrees
Closest atoms and distances in Å follow each position.
Sites, in units of the cell vectors:
Si1 0.0000 0.0000 0.5314  4 Mn 2.47-2.52, 4 Si 2.61
Si2 0.0000 0.0000 0.9686  4 Mn 2.47-2.52, 4 Si 2.61
Mn1 0.5000 0.5000 0.7500  8 Si 2.47-2.52, 4 Mn 2.61
Li1 0.5000 0.5000 0.2500  4 Li 2.61, 8 Si 2.81-2.86

***

Entry 2:
Material: MgMn3B
Method: DFT, GGA-PBE
State: optimized geometry

Results
* energy of formation from the pure elements: 0.0589 eV/atom
* ΔE to the lowest computed polymorph: 0.00 eV/f.u.

Cell lengths 4.0347, 4.0347, 4.0347 Å; angles 90.00, 90.00, 90.00 degrees
Closest atoms and distances in Å follow each position.
Sites, in units of the cell vectors:
Mn1 0.0000 0.5000 0.0000  2 B 2.02
Mn2 0.5000 0.0000 0.0000  2 B 2.02
Mn3 0.0000 0.0000 0.5000  2 B 2.02
B1 0.0000 0.0000 0.0000  6 Mn 2.02
Mg1 0.5000 0.5000 0.5000  12 Mn 2.85

***

Entry 3:
Material: Dy2U3S8
Method: DFT, GGA-PBE
State: optimized geometry

Results
* E_form (uncorrected): -1.572 eV/atom

Cell lengths 6.5767, 7.8253, 8.0153 Å; angles 119.22, 106.71, 90.00 degrees
Closest atoms and distances in Å follow each position.
Sites, in units of the cell vectors:
S1 0.0958 0.3853 0.7706  2 U 2.68, 1 Dy 2.72
S2 0.5840 0.1091 0.7476  2 U 2.73, 2 Dy 2.78-2.80
S3 0.9042 0.6147 0.2294  2 U 2.68, 1 Dy 2.72
S4 0.0736 0.8819 0.7638  3 U 2.75-2.76, 1 Dy 2.78
S5 0.4160 0.8909 0.2524  2 U 2.73, 2 Dy 2.78-2.80
S6 0.9264 0.1181 0.2362  3 U 2.75-2.76, 1 Dy 2.78
S7 0.5840 0.6386 0.7476  2 U 2.73, 2 Dy 2.78-2.80
S8 0.4160 0.3614 0.2524  2 U 2.73, 2 Dy 2.78-2.80
U1 0.0000 0.7413 0.0000  6 S 2.68-2.76
U2 0.5000 0.0000 0.0000  6 S 2.73-2.75
U3 0.0000 0.2587 0.0000  6 S 2.68-2.76
Dy1 0.3378 0.2606 0.5212  6 S 2.72-2.80
Dy2 0.6622 0.7394 0.4788  6 S 2.72-2.80

***

One value per record, in order, for size of the total moment: 1.5, 8.0, 8.0 μB/cell.
One value per record, in order, for Fermi-level density of states: 1.78, 1.94, 12.32 states/eV/cell.